Compound: UOsRu2
Source: Alexandria via LeMat-Bulk
Functional: PBE-GGA
Structure: relaxed

Cell: 3.987 4.019 4.019 Å, 90.00 90.00 90.00°
Atoms (fractional coordinates):
Os 0.500 0.000 0.000
U 0.500 0.500 0.500
Ru 0.000 0.000 0.500
Ru 0.000 0.500 0.000

Energy above the most stable polymorph in this dataset: 0.016 eV per atom
Theoretical density: 16254 kg/m3
E_form: -25.2 kJ per mole of atoms
Magnetization: 0.00 μB per cell

=====

Compound: YUOsRu
Source: Alexandria via LeMat-Bulk
Functional: PBE-GGA
Structure: relaxed

Cell: 4.812 4.812 4.812 Å, 60.00 60.00 60.00°
Each line ends with the local moment (μB).
Atoms (fractional coordinates):
Y 0.000 0.000 0.000  0.04
Os 0.250 0.250 0.250  -0.16
U 0.500 0.500 0.500  1.65
Ru 0.750 0.750 0.750  -0.17

Theoretical density: 13032 kg/m3
E_form: -12.0 kJ per mole of atoms
Magnetization: 1.49 μB per cell

=====

Compound: UZnOsRu
Source: Alexandria via LeMat-Bulk
Functional: PBE-GGA
Structure: relaxed

Cell: 4.566 4.566 4.566 Å, 60.00 60.00 60.00°
Each line ends with the local moment (μB).
Atoms (fractional coordinates):
Os 0.250 0.250 0.250  -0.11
Zn 0.000 0.000 0.000  0.01
U 0.500 0.500 0.500  0.99
Ru 0.750 0.750 0.750  -0.10

Theoretical density: 14672 kg/m3
E_form: -5.6 kJ per mole of atoms
Magnetization: 0.83 μB per cell